The following is a DFT calculation (GGA-PBE) of Cr2HgOs after structural relaxation.

Output
E: -7.20 eV/atom
mass density: 13.715 g/cm3
magnetic moment: 0.3 μB per formula unit

Cell lengths 8.8396, 8.8396, 8.8396 Å; angles 18.37, 18.37, 18.37 degrees
Last column: nearest neighbours and their distance in Å.
Fractional positions:
Cr (0.2650, 0.2650, 0.2650)  3 Cr 2.30
Cr (0.9939, 0.9939, 0.9939)  3 Cr 2.30
Os (0.7375, 0.7375, 0.7375)  3 Cr 2.58, 6 Os 2.82
Hg (0.5036, 0.5036, 0.5036)  6 Hg 2.82, 3 Cr 2.96, 3 Os 3.06

=====

The following is a DFT calculation (GGA-PBE) of SmDy3Er2S6 after structural relaxation.

Output
E: -6.36 eV/atom
mass density: 7.636 g/cm3
ΔE_f (raw): -1.988 eV per atom
magnetic moment: 0.0 μB per formula unit

Cell lengths 6.7786, 6.7786, 6.7663 Å; angles 99.58, 99.58, 120.20 degrees
Last column: nearest neighbours and their distance in Å.
Fractional positions:
S (0.5746, 0.9163, 0.7486)  2 Er 2.74-2.75, 3 Dy 2.75-2.78, 1 Sm 2.82
S (0.9163, 0.5746, 0.7486)  2 Er 2.74-2.75, 3 Dy 2.75-2.78, 1 Sm 2.82
S (0.2586, 0.2586, 0.7516)  3 Dy 2.72-2.76, 2 Er 2.73, 1 Sm 2.80
S (0.0837, 0.4254, 0.2514)  2 Er 2.74-2.75, 3 Dy 2.75-2.78, 1 Sm 2.82
S (0.7414, 0.7414, 0.2484)  3 Dy 2.72-2.76, 2 Er 2.73, 1 Sm 2.80
S (0.4254, 0.0837, 0.2514)  2 Er 2.74-2.75, 3 Dy 2.75-2.78, 1 Sm 2.82
Dy (0.8375, 0.1625, 0.5000)  6 S 2.75-2.78
Dy (0.5000, 0.5000, 0.5000)  6 S 2.72-2.78
Dy (0.1625, 0.8375, 0.5000)  6 S 2.75-2.78
Er (0.6660, 0.3340, 0.0000)  6 S 2.73-2.75
Er (0.3340, 0.6660, 0.0000)  6 S 2.73-2.75
Sm (0.0000, 0.0000, 0.0000)  6 S 2.80-2.82

=====

The following is a DFT calculation (GGA-PBE) of V2CdFePt after structural relaxation.

Output
E: -5.74 eV/atom
mass density: 7.521 g/cm3
magnetic moment: 3.4 μB per formula unit

Cell lengths 4.6703, 4.7090, 4.6703 Å; angles 90.00, 90.00, 90.00 degrees
Last column: nearest neighbours and their distance in Å.
Fractional positions:
V (0.0000, 0.0000, 0.5000)  2 Pt 2.34
V (0.5000, 0.0000, 0.0000)  2 Pt 2.34
Cd (0.5000, 0.5000, 0.5000)  4 Fe 3.30, 8 V 3.32
Fe (0.0000, 0.5000, 0.0000)  2 Pt 2.35
Pt (0.0000, 0.0000, 0.0000)  4 V 2.34, 2 Fe 2.35